{"formula": "AsWF2", "functional": "PBE with a Hubbard U", "state": "relaxed", "total_energy_ev_per_atom": -3.8814, "spacegroup": "Fm-3m, No. 225", "lattice": [[0.000, 3.063, 3.063], [3.063, 0.000, 3.063], [3.063, 3.063, 0.000]], "species": ["W", "As", "F", "F"], "frac_coords": [[0.500, 0.500, 0.500], [0.000, 0.000, 0.000], [0.250, 0.250, 0.250], [0.750, 0.750, 0.750]]}